(1)
Compound: NaZnIn2Cu
Source: Alexandria
Functional: PBE
Structure: optimized geometry

The structure in CIF format:
```
data_NaZnIn2Cu
_cell_length_a 5.098
_cell_length_b 5.098
_cell_length_c 4.776
_cell_angle_alpha 90.00
_cell_angle_beta 90.00
_cell_angle_gamma 90.00
_symmetry_space_group_name_H-M 'P 1'
_symmetry_Int_Tables_number 1
_symmetry_space_group_name_Hall 'P 1'
loop_
_atom_site_label
_atom_site_type_symbol
_atom_site_fract_x
_atom_site_fract_y
_atom_site_fract_z
Na1 Na 0.500 0.500 0.500
Zn1 Zn 0.000 0.000 0.500
Cu1 Cu 0.000 0.000 0.000
In1 In 0.000 0.500 0.000
In2 In 0.500 0.000 0.000
```

Output
- Formation energy from the elements: 0.088 eV per atom
- Calculated volume: 24.83 A^3/atom
- Size of the total moment: 0.0 μB per formula unit
- Crystal system: tetragonal

=====

(2)
Compound: BSICl2
Source: Alexandria
Functional: PBE
Structure: optimized geometry

The structure in CIF format:
```
data_BSICl2
_cell_length_a 5.464
_cell_length_b 5.464
_cell_length_c 5.176
_cell_angle_alpha 90.00
_cell_angle_beta 90.00
_cell_angle_gamma 90.00
_symmetry_space_group_name_H-M 'P 1'
_symmetry_Int_Tables_number 1
_symmetry_space_group_name_Hall 'P 1'
loop_
_atom_site_label
_atom_site_type_symbol
_atom_site_fract_x
_atom_site_fract_y
_atom_site_fract_z
I1 I 0.000 0.000 0.000
S1 S 0.000 0.000 0.500
B1 B 0.500 0.500 0.500
Cl1 Cl 0.000 0.500 0.000
Cl2 Cl 0.500 0.000 0.000
```

Output
- Raw formation energy: 1.253 eV/atom
- Calculated volume: 30.91 A^3/atom
- ΔE to the lowest computed polymorph: 736 meV/atom
- Size of the total moment: 0.0 μB per formula unit
- Crystal system: tetragonal

=====

(3)
Compound: Ca2HI
Source: Alexandria
Functional: PBE
Structure: optimized geometry

The structure in CIF format:
```
data_Ca2HI
_cell_length_a 3.980
_cell_length_b 3.980
_cell_length_c 7.975
_cell_angle_alpha 75.55
_cell_angle_beta 75.55
_cell_angle_gamma 60.00
_symmetry_space_group_name_H-M 'P 1'
_symmetry_Int_Tables_number 1
_symmetry_space_group_name_Hall 'P 1'
loop_
_atom_site_label
_atom_site_type_symbol
_atom_site_fract_x
_atom_site_fract_y
_atom_site_fract_z
I1 I 0.500 0.500 0.500
H1 H 0.000 0.000 0.000
Ca1 Ca 0.274 0.274 0.178
Ca2 Ca 0.726 0.726 0.822
```

Output
- Calculated volume: 26.19 A^3/atom
- ΔE to the lowest computed polymorph: 0 meV/atom
- Size of the total moment: 0.0 μB per formula unit
- Crystal system: trigonal